VASP calculation (PBE-GGA) on an optimized crystal structure of K2YOs.

Unit cell a=4.385 b=4.385 c=11.267 alpha=86.23 beta=86.23 gamma=45.26
Atoms (fractional coordinates):
K (0.774, 0.774, 0.663)
K (0.993, 0.993, 0.034)
Y (0.223, 0.223, 0.340)
Os (0.510, 0.510, 0.463)

Calculated values
Offset from the most stable computed form ... 175.0 meV per atom
Space-group type ... Cm
Total DFT energy (no corrections) ... -17.18 eV for the cell shown
Energy of formation ... 0.68 eV per atom